(1)
# PrNdHo6

Crystalline PrNdHo6 at its relaxed geometry (PBE-GGA, Alexandria).

Results
As for the size of the total moment: 0.00 μB/f.u. Its energy of formation is 366 meV/atom. The value obtained for the total energy is -34.082 eV per formula unit. For the energy relative to the lowest polymorph listed for this composition, the calculation gives 0.219 eV/atom.

Geometry as CIF:
```
data_PrNdHo6
_chemical_formula_sum 'Pr2 Nd2 Ho12'
_cell_length_a 10.1902
_cell_length_b 6.7483
_cell_length_c 8.5349
_cell_angle_alpha 90.00
_cell_angle_beta 104.84
_cell_angle_gamma 90.00
_space_group_name_H-M_alt 'C 1 2/m 1'
_space_group_IT_number 12
_space_group_name_Hall '-C 2y'
loop_
_atom_site_label
_atom_site_type_symbol
_atom_site_fract_x
_atom_site_fract_y
_atom_site_fract_z
_atom_site_occupancy
Pr1 Pr 0.0000 0.0000 0.0000 1
Nd1 Nd 0.0000 0.0000 0.5000 1
Ho1 Ho 0.1249 0.5000 0.4233 1
Ho2 Ho 0.1983 0.2597 0.7990 1
```

(2)
# Pr5Nd3Ho2

Crystalline Pr5Nd3Ho2 at its relaxed geometry (PBE-GGA, Alexandria).

Results
As for the size of the total moment: 0.00 μB/f.u. Its energy of formation is 170 meV/atom. The value obtained for the total energy is -45.658 eV per formula unit. For the energy relative to the lowest polymorph listed for this composition, the calculation gives 0.000 eV/atom.

Geometry as CIF:
```
data_Pr5Nd3Ho2
_chemical_formula_sum 'Pr10 Nd6 Ho4'
_cell_length_a 11.7681
_cell_length_b 5.5901
_cell_length_c 10.9710
_cell_angle_alpha 90.00
_cell_angle_beta 98.32
_cell_angle_gamma 90.00
_space_group_name_H-M_alt 'C 1 2/m 1'
_space_group_IT_number 12
_space_group_name_Hall '-C 2y'
loop_
_atom_site_label
_atom_site_type_symbol
_atom_site_fract_x
_atom_site_fract_y
_atom_site_fract_z
_atom_site_occupancy
Pr1 Pr 0.0000 0.0000 0.0000 1
Pr2 Pr 0.1402 0.0000 0.2619 1
Pr3 Pr 0.1773 0.5000 0.4474 1
Nd1 Nd 0.0000 0.0000 0.5000 1
Nd2 Nd 0.2349 0.5000 0.1071 1
Ho1 Ho 0.0641 0.5000 0.7742 1
```

(3)
# Pr5Nd2Ho5

Crystalline Pr5Nd2Ho5 at its relaxed geometry (PBE-GGA, Alexandria).

Results
As for the size of the total moment: 0.00 μB/f.u. Its energy of formation is 18 meV/atom. The value obtained for the total energy is -56.109 eV per formula unit.

Geometry as CIF:
```
data_Pr5Nd2Ho5
_chemical_formula_sum 'Pr10 Nd4 Ho10'
_cell_length_a 15.4157
_cell_length_b 5.1159
_cell_length_c 11.5145
_cell_angle_alpha 90.00
_cell_angle_beta 116.66
_cell_angle_gamma 90.00
_space_group_name_H-M_alt 'C 1 2/m 1'
_space_group_IT_number 12
_space_group_name_Hall '-C 2y'
loop_
_atom_site_label
_atom_site_type_symbol
_atom_site_fract_x
_atom_site_fract_y
_atom_site_fract_z
_atom_site_occupancy
Pr1 Pr 0.0000 0.0000 0.0000 1
Pr2 Pr 0.1649 0.0000 0.4985 1
Pr3 Pr 0.2492 0.0000 0.2472 1
Nd1 Nd 0.0828 0.0000 0.7520 1
Ho1 Ho 0.0000 0.5000 0.5000 1
Ho2 Ho 0.0822 0.5000 0.2486 1
Ho3 Ho 0.1671 0.5000 0.0006 1
```

(4)
# Pr3Nd5Ho4

Crystalline Pr3Nd5Ho4 at its relaxed geometry (PBE-GGA, Alexandria).

Results
As for the size of the total moment: 0.00 μB/f.u. Its energy of formation is 16 meV/atom. The value obtained for the total energy is -56.302 eV per formula unit. For the energy relative to the lowest polymorph listed for this composition, the calculation gives 0.000 eV/atom.

Geometry as CIF:
```
data_Pr3Nd5Ho4
_chemical_formula_sum 'Pr3 Nd5 Ho4'
_cell_length_a 6.3068
_cell_length_b 7.2635
_cell_length_c 8.9091
_cell_angle_alpha 89.92
_cell_angle_beta 89.98
_cell_angle_gamma 89.99
_space_group_name_H-M_alt 'P -1'
_space_group_IT_number 2
_space_group_name_Hall '-P 1'
loop_
_atom_site_label
_atom_site_type_symbol
_atom_site_fract_x
_atom_site_fract_y
_atom_site_fract_z
_atom_site_occupancy
Pr1 Pr 0.0000 0.0000 0.0000 1
Pr2 Pr 0.1660 0.7471 0.3358 1
Nd1 Nd 0.0000 0.5000 0.0000 1
Nd2 Nd 0.3331 0.0002 0.6648 1
Nd3 Nd 0.4983 0.2528 0.0006 1
Ho1 Ho 0.1679 0.2530 0.3353 1
Ho2 Ho 0.3344 0.5006 0.6643 1
```